(1)
The following is a PBE calculation of a relaxed Ta2ZnHg crystal, from the Alexandria database.

Lattice parameters (Å, degrees): 3.4722 3.4722 5.9155 90.00 90.00 90.00
Last column: nearest neighbours and their distance in Å.
Atoms (fractional coordinates):
Ta 0.0000 0.0000 0.2284  1 Ta 2.70, 4 Zn 2.80, 4 Hg 2.93
Ta 0.0000 0.0000 0.7716  1 Ta 2.70, 4 Zn 2.80, 4 Hg 2.93
Zn 0.5000 0.5000 0.0000  8 Ta 2.80, 2 Hg 2.96
Hg 0.5000 0.5000 0.5000  8 Ta 2.93, 2 Zn 2.96

energy of formation	395	meV/atom
Fermi-level density of states	3.7	states/eV/f.u.
crystal system	tetragonal
ΔE to the lowest computed polymorph	0.2611	eV per atom
density	14.62	Mg/m³



(2)
The following is a PBE calculation of a relaxed Nd3DyHg12 crystal, from the Alexandria database.

Lattice parameters (Å, degrees): 4.6555 4.6555 18.9613 90.00 90.00 90.00
Last column: nearest neighbours and their distance in Å.
Atoms (fractional coordinates):
Nd 0.0000 0.0000 0.0000  12 Hg 3.29-3.34
Nd 0.0000 0.0000 0.2535  12 Hg 3.29-3.35
Nd 0.0000 0.0000 0.7465  12 Hg 3.29-3.35
Dy 0.0000 0.0000 0.5000  12 Hg 3.27-3.29
Hg 0.0000 0.5000 0.1264  8 Hg 3.29-3.34, 4 Nd 3.34-3.35
Hg 0.0000 0.5000 0.3790  8 Hg 3.27-3.34, 2 Dy 3.27, 2 Nd 3.33
Hg 0.0000 0.5000 0.6210  8 Hg 3.27-3.34, 2 Dy 3.27, 2 Nd 3.33
Hg 0.0000 0.5000 0.8736  8 Hg 3.29-3.34, 4 Nd 3.34-3.35
Hg 0.5000 0.0000 0.1264  8 Hg 3.29-3.34, 4 Nd 3.34-3.35
Hg 0.5000 0.0000 0.3790  8 Hg 3.27-3.34, 2 Dy 3.27, 2 Nd 3.33
Hg 0.5000 0.0000 0.6210  8 Hg 3.27-3.34, 2 Dy 3.27, 2 Nd 3.33
Hg 0.5000 0.0000 0.8736  8 Hg 3.29-3.34, 4 Nd 3.34-3.35
Hg 0.5000 0.5000 0.0000  4 Nd 3.29, 8 Hg 3.34
Hg 0.5000 0.5000 0.2529  4 Nd 3.29, 8 Hg 3.34
Hg 0.5000 0.5000 0.5000  8 Hg 3.27, 4 Dy 3.29
Hg 0.5000 0.5000 0.7471  4 Nd 3.29, 8 Hg 3.34

energy of formation	-340	meV/atom
Fermi-level density of states	14.0	states/eV/f.u.
crystal system	tetragonal
density	12.13	Mg/m³



(3)
The following is a PBE calculation of a relaxed BiIrOsPd crystal, from the Alexandria database.

Lattice parameters (Å, degrees): 3.7024 2.8894 7.3995 90.00 104.17 90.00
Last column: nearest neighbours and their distance in Å.
Atoms (fractional coordinates):
Bi 0.0000 0.0000 0.0000  2 Bi 2.89, 4 Pd 2.94-2.95, 2 Os 2.98
Ir 0.7594 0.0000 0.5110  4 Os 2.58
Os 0.1870 0.5000 0.3628  4 Ir 2.58, 1 Pd 2.80
Pd 0.3773 0.5000 0.7527  1 Os 2.80, 2 Pd 2.89, 4 Ir 2.92, 4 Bi 2.94-2.95

energy of formation	398	meV/atom
Fermi-level density of states	4.2	states/eV/f.u.
crystal system	monoclinic
ΔE to the lowest computed polymorph	0.0152	eV per atom
density	15.10	Mg/m³



(4)
The following is a PBE calculation of a relaxed CrSiIN2 crystal, from the Alexandria database.

Lattice parameters (Å, degrees): 3.6271 3.6271 6.6612 90.00 90.00 90.00
Last column: nearest neighbours and their distance in Å.
Atoms (fractional coordinates):
Cr 0.0000 0.0000 0.0000  4 I 2.56
Si 0.5000 0.5000 0.5000  4 N 1.81
I 0.5000 0.5000 0.0000  4 Cr 2.56
N 0.0000 0.5000 0.5000  2 Si 1.81
N 0.5000 0.0000 0.5000  2 Si 1.81

Fermi-level density of states	2.5	states/eV/f.u.
raw formation energy	0.842	eV per atom
crystal system	tetragonal
ΔE to the lowest computed polymorph	0.0000	eV per atom
density	4.45	Mg/m³



(5)
The following is a PBE calculation of a relaxed SmYPd2 crystal, from the Alexandria database.

Lattice parameters (Å, degrees): 5.0273 5.0273 5.0273 60.00 60.00 60.00
Last column: nearest neighbours and their distance in Å.
Atoms (fractional coordinates):
Sm 0.0000 0.0000 0.0000  8 Pd 3.08
Y 0.5000 0.5000 0.5000  8 Pd 3.08
Pd 0.2500 0.2500 0.2500  4 Y 3.08, 4 Sm 3.08
Pd 0.7500 0.7500 0.7500  4 Y 3.08, 4 Sm 3.08

energy of formation	-825	meV/atom
Fermi-level density of states	4.1	states/eV/f.u.
crystal system	cubic
ΔE to the lowest computed polymorph	0.0491	eV per atom
density	8.36	Mg/m³



(6)
The following is a PBE calculation of a relaxed AsOsW crystal, from the Alexandria database.

Lattice parameters (Å, degrees): 5.5385 5.5385 5.5385 148.86 148.86 44.61
Last column: nearest neighbours and their distance in Å.
Atoms (fractional coordinates):
As 0.0000 0.0000 0.0000  4 Os 2.68, 4 W 2.71, 4 As 2.97
Os 0.6625 0.6625 0.0000  4 As 2.68, 4 W 2.74, 4 Os 2.97
W 0.3339 0.3339 0.0000  4 As 2.71, 4 Os 2.74, 4 W 2.97

energy of formation	206	meV/atom
Fermi-level density of states	1.6	states/eV/f.u.
crystal system	tetragonal
ΔE to the lowest computed polymorph	0.0000	eV per atom
density	16.46	Mg/m³



(7)
The following is a PBE calculation of a relaxed Ba8Pd3I3N crystal, from the Alexandria database.

Lattice parameters (Å, degrees): 10.2779 10.2779 10.2779 52.95 52.95 52.95
Last column: nearest neighbours and their distance in Å.
Atoms (fractional coordinates):
Ba 0.2353 0.2353 0.2353  3 Pd 3.21
Ba 0.2603 0.7092 0.7092  1 N 2.85
Ba 0.2908 0.2908 0.7397  1 N 2.85
Ba 0.2908 0.7397 0.2908  1 N 2.85
Ba 0.7092 0.2603 0.7092  1 N 2.85
Ba 0.7092 0.7092 0.2603  1 N 2.85
Ba 0.7397 0.2908 0.2908  1 N 2.85
Ba 0.7647 0.7647 0.7647  3 Pd 3.21
Pd 0.0000 0.0000 0.5000  6 Ba 3.20-3.21
Pd 0.0000 0.5000 0.0000  6 Ba 3.20-3.21
Pd 0.5000 0.0000 0.0000  6 Ba 3.20-3.21
I 0.0000 0.5000 0.5000  6 Ba 3.70-3.79
I 0.5000 0.0000 0.5000  6 Ba 3.70-3.79
I 0.5000 0.5000 0.0000  6 Ba 3.70-3.79
N 0.5000 0.5000 0.5000  6 Ba 2.85

Fermi-level density of states	11.3	states/eV/f.u.
raw formation energy	-0.833	eV per atom
crystal system	trigonal
density	4.70	Mg/m³



(8)
The following is a PBE calculation of a relaxed UCoSi crystal, from the Alexandria database.

Lattice parameters (Å, degrees): 4.0840 4.0840 7.0041 90.00 90.00 120.92
Last column: nearest neighbours and their distance in Å.
Atoms (fractional coordinates):
U 0.0000 0.0000 0.0000  6 Co 2.90-2.99, 6 Si 2.92-2.93
U 0.0000 0.0000 0.5000  6 Co 2.90-2.99, 6 Si 2.92-2.93
Co 0.3406 0.6594 0.7500  3 Si 2.34-2.35
Co 0.6594 0.3406 0.2500  3 Si 2.34-2.35
Si 0.3297 0.6703 0.2500  3 Co 2.34-2.35
Si 0.6703 0.3297 0.7500  3 Co 2.34-2.35

Fermi-level density of states	3.8	states/eV/f.u.
raw formation energy	-0.425	eV per atom
crystal system	orthorhombic
density	10.77	Mg/m³



(9)
The following is a PBE calculation of a relaxed K3HfSn crystal, from the Alexandria database.

Lattice parameters (Å, degrees): 6.6359 6.6359 6.6359 90.00 90.00 90.00
Last column: nearest neighbours and their distance in Å.
Atoms (fractional coordinates):
K 0.0000 0.0000 0.5000  2 Sn 3.32
K 0.0000 0.5000 0.0000  2 Sn 3.32
K 0.5000 0.0000 0.0000  2 Sn 3.32
Hf 0.5000 0.5000 0.5000  12 K 4.69
Sn 0.0000 0.0000 0.0000  6 K 3.32

energy of formation	1137	meV/atom
Fermi-level density of states	12.1	states/eV/f.u.
crystal system	cubic
ΔE to the lowest computed polymorph	0.0000	eV per atom
density	2.36	Mg/m³



(10)
The following is a PBE calculation of a relaxed NaGe3Rh crystal, from the Alexandria database.

Lattice parameters (Å, degrees): 5.9073 5.7443 5.7079 90.00 90.00 90.00
Last column: nearest neighbours and their distance in Å.
Atoms (fractional coordinates):
Na 0.0000 0.2126 0.0000  1 Rh 2.84, 3 Ge 2.86-3.09
Na 0.5000 0.7874 0.5000  1 Rh 2.84, 3 Ge 2.86-3.09
Ge 0.0000 0.8899 0.3826  1 Rh 2.41
Ge 0.2486 0.2812 0.5018  2 Rh 2.49-2.51, 1 Ge 2.77
Ge 0.2514 0.7188 0.0018  2 Rh 2.49-2.51, 1 Ge 2.77
Ge 0.5000 0.1101 0.8826  1 Rh 2.41
Ge 0.7486 0.7188 0.0018  2 Rh 2.49-2.51, 1 Ge 2.77
Ge 0.7514 0.2812 0.5018  2 Rh 2.49-2.51, 1 Ge 2.77
Rh 0.0000 0.5890 0.6769  5 Ge 2.41-2.51
Rh 0.5000 0.4110 0.1769  5 Ge 2.41-2.51

energy of formation	-148	meV/atom
Fermi-level density of states	2.4	states/eV/f.u.
crystal system	orthorhombic
ΔE to the lowest computed polymorph	0.0000	eV per atom
density	5.90	Mg/m³



(11)
The following is a PBE calculation of a relaxed AsPb6S2I3 crystal, from the Alexandria database.

Lattice parameters (Å, degrees): 7.9514 7.9514 8.2124 98.92 98.92 124.79
Last column: nearest neighbours and their distance in Å.
Atoms (fractional coordinates):
As 0.0000 0.0000 0.0000  6 Pb 2.96-3.00
Pb 0.0746 0.3966 0.2042  2 S 2.90-2.99, 1 As 3.00
Pb 0.2940 0.2940 0.8279  1 As 2.96, 2 S 3.14
Pb 0.3966 0.0746 0.2042  2 S 2.90-2.99, 1 As 3.00
Pb 0.6034 0.9254 0.7958  2 S 2.90-2.99, 1 As 3.00
Pb 0.7060 0.7060 0.1721  1 As 2.96, 2 S 3.14
Pb 0.9254 0.6034 0.7958  2 S 2.90-2.99, 1 As 3.00
S 0.3121 0.6879 0.0000  6 Pb 2.90-3.14
S 0.6879 0.3121 0.0000  6 Pb 2.90-3.14
I 0.1674 0.8326 0.5000  6 Pb 3.43-3.69
I 0.5000 0.5000 0.5000  6 Pb 3.42-3.51
I 0.8326 0.1674 0.5000  6 Pb 3.43-3.69

Fermi-level density of states	4.5	states/eV/f.u.
raw formation energy	-0.337	eV per atom
crystal system	monoclinic
density	7.29	Mg/m³



(12)
The following is a PBE calculation of a relaxed TlInHg2F crystal, from the Alexandria database.

Lattice parameters (Å, degrees): 5.7519 5.7519 4.5180 90.00 90.00 90.00
Last column: nearest neighbours and their distance in Å.
Atoms (fractional coordinates):
Tl 0.0000 0.0000 0.0000  8 Hg 3.66, 4 F 4.07
In 0.5000 0.5000 0.5000  2 F 2.26
Hg 0.0000 0.5000 0.5000  2 In 2.88
Hg 0.5000 0.0000 0.5000  2 In 2.88
F 0.5000 0.5000 0.0000  2 In 2.26

Fermi-level density of states	2.3	states/eV/f.u.
raw formation energy	-0.529	eV per atom
crystal system	tetragonal
density	8.21	Mg/m³



- density of number 10 (NaGe3Rh)?
  5.90 Mg/m³



- Look up the Fermi-level density of states of the ninth one.
  12.1 states/eV/f.u.



- The highest density belongs to which entry?
  AsOsW